First-principles (PBE) data for TaBe2Os after structural relaxation, as listed in Alexandria via LeMat-Bulk.

a = 2.7324 Å, b = 2.7324 Å, c = 24.5747 Å
α = 90.00°, β = 90.00°, γ = 120.00°
Space group R-3m (No. 166, hexagonal axes)
Unique sites:
Ta 0.0000 0.0000 0.0000
Be 0.0000 0.0000 0.2417
Os 0.0000 0.0000 0.5000

Results
ΔE to the lowest computed polymorph: 0.541 eV/atom
Total DFT energy (no corrections): -0.54337 Ry per atom
Magnetization: 0.00 μB/f.u.